(1)
DFT (PBE-GGA) results for an optimized crystal structure of La2AlSi3Ni12.

a = 6.316 Å, b = 6.316 Å, c = 6.316 Å
α = 84.01°, β = 84.01°, γ = 84.01°
Fractional coordinates of all 18 atoms:
Ni1 0.379 0.379 0.914
Ni2 0.914 0.379 0.379
Ni3 0.705 0.185 0.185
Ni4 0.815 0.295 0.815
Ni5 0.621 0.621 0.086
Ni6 0.185 0.705 0.185
Ni7 0.621 0.086 0.621
Ni8 0.815 0.815 0.295
Ni9 0.379 0.914 0.379
Ni10 0.086 0.621 0.621
Ni11 0.295 0.815 0.815
Ni12 0.185 0.185 0.705
La1 0.640 0.640 0.640
La2 0.360 0.360 0.360
Si1 0.000 0.500 0.000
Si2 0.500 0.000 0.000
Si3 0.000 0.000 0.500
Al1 0.000 0.000 0.000

Computed properties:
The calculation puts the total energy at -0.2089 Ha/atom. The uncorrected formation energy is -0.1708 eV/atom. As for the space group: No. 166.


(2)
DFT (PBE-GGA) results for an optimized crystal structure of Ag2HgSe.

a = 4.544 Å, b = 4.544 Å, c = 3.947 Å
α = 90.00°, β = 90.00°, γ = 90.00°
Fractional coordinates of all 4 atoms:
Hg1 0.500 0.000 0.500
Se1 0.000 0.500 0.500
Ag1 0.000 0.000 0.000
Ag2 0.500 0.500 0.000

Computed properties:
For the offset from the most stable computed form, the calculation gives 0.372 eV/f.u. The calculation puts the total energy at -0.0838 Ha/atom. The uncorrected formation energy is 0.0913 eV/atom. As for the space group: No. 123.


(3)
DFT (PBE-GGA) results for an optimized crystal structure of La2PrCl.

a = 3.790 Å, b = 3.790 Å, c = 10.661 Å
α = 79.76°, β = 79.76°, γ = 60.00°
Fractional coordinates of all 4 atoms:
La1 0.261 0.261 0.217
La2 0.739 0.739 0.783
Pr1 0.500 0.500 0.500
Cl1 0.000 0.000 0.000

Computed properties:
The calculation puts the total energy at -0.1778 Ha/atom. The uncorrected formation energy is -0.7176 eV/atom. As for the space group: No. 166.